(1)
Ac8SiNi3Br4: optimized geometry, PBE-GGA.

Cell lengths 8.8103, 9.5441, 8.8129 Å; angles 117.53, 119.99, 90.00 degrees
With the nearest neighbours (Å) after each atom.
Fractional positions:
Ac (0.2388, 0.6988, 0.9603)  2 Ni 2.97, 1 Si 3.08
Ac (0.2387, 0.6986, 0.4775)  2 Ni 2.97, 1 Si 3.08
Ac (0.2678, 0.3036, 0.5356)  3 Ni 3.00
Ac (0.7215, 0.6988, 0.9603)  2 Ni 2.97, 1 Si 3.08
Ac (0.2785, 0.3012, 0.0397)  2 Ni 2.97, 1 Si 3.08
Ac (0.7322, 0.6964, 0.4644)  3 Ni 3.00
Ac (0.7613, 0.3014, 0.5225)  2 Ni 2.97, 1 Si 3.08
Ac (0.7612, 0.3012, 0.0397)  2 Ni 2.97, 1 Si 3.08
Si (0.0000, 0.5000, 0.0000)  6 Ac 3.08
Ni (0.5000, 0.5000, 0.0000)  6 Ac 2.97-3.00
Ni (0.5000, 0.5000, 0.5000)  6 Ac 2.97-3.00
Ni (0.0000, 0.5000, 0.5000)  6 Ac 2.97-3.00
Br (0.5000, 0.0000, 0.0000)  6 Ac 3.46
Br (0.5000, 0.0000, 0.5000)  6 Ac 3.53-3.55
Br (0.0000, 0.0000, 0.0000)  6 Ac 3.53-3.55
Br (0.0000, 0.0000, 0.5000)  6 Ac 3.53-3.55

## Properties
The value obtained for the final energy is -4.739 eV/atom. As for the space-group type: No. 166.



(2)
Dy3Co2Ge4: optimized geometry, PBE-GGA.

Cell lengths 5.7176, 5.7176, 8.0159 Å; angles 73.61, 73.61, 42.65 degrees
With the nearest neighbours (Å) after each atom.
Fractional positions:
Dy (0.3770, 0.3770, 0.6930)  3 Co 2.88-3.02, 7 Ge 2.96-3.09
Dy (0.6230, 0.6230, 0.3070)  3 Co 2.88-3.02, 7 Ge 2.96-3.09
Dy (0.0000, 0.0000, 0.0000)  6 Ge 2.97-3.05
Co (0.3078, 0.3078, 0.3728)  4 Ge 2.35-2.42
Co (0.6922, 0.6922, 0.6272)  4 Ge 2.35-2.42
Ge (0.0980, 0.0980, 0.6009)  3 Co 2.35-2.42
Ge (0.9020, 0.9020, 0.3991)  3 Co 2.35-2.42
Ge (0.7091, 0.7091, 0.9193)  1 Co 2.40
Ge (0.2909, 0.2909, 0.0807)  1 Co 2.40

## Properties
For the offset from the most stable computed form, the calculation gives 0.00 eV per formula unit. The energy relative to the elements is -0.72 eV/atom. As for the space-group type: No. 12.